(1)
Computed, not measured: CaMoIr2 after structural relaxation at the GGA-PBEsol level of DFT.

The structure belongs to space group C2/m (No. 12); the cell edges are 8.883, 2.760 and 5.825 Å and the angles 90.00°, 97.45° and 90.00°. The inequivalent atoms are Ca at (0.000, 0.000, 0.000), Mo at (0.000, 0.500, 0.500) and Ir at (0.243, 0.000, 0.687).

As for the total magnetization: 0.00 μB/cell. For the density of states at the Fermi level, the calculation gives 2.874 states/eV/f.u. For the theoretical density, the calculation gives 12.20 Mg/m³. Its calculated total energy is -65.19 eV/cell. For the formation energy, the calculation gives 238 meV per atom. As for the offset from the most stable computed form: 0.129 eV per atom.

***

(2)
Computed, not measured: Ti2GaC after structural relaxation at the GGA-PBEsol level of DFT.

The structure belongs to space group P6_3/mmc (No. 194); the cell edges are 3.0470, 3.0470 and 13.2934 Å and the angles 90.00°, 90.00° and 120.00°. The inequivalent atoms are Ti at (0.3333, 0.6667, 0.0855), Ga at (0.3333, 0.6667, 0.7500) and C at (0.0000, 0.0000, 0.0000).

As for the total magnetization: 0.00 μB/cell. For the density of states at the Fermi level, the calculation gives 1.394 states/eV/f.u. For the theoretical density, the calculation gives 5.51 Mg/m³. Its calculated total energy is -65.79 eV/cell. For the formation energy, the calculation gives -816 meV per atom. As for the offset from the most stable computed form: 0.000 eV per atom.

***

Question: What is the formula in the first record?
Answer: CaMoIr2

***

Repeat the first record exactly.
Computed, not measured: CaMoIr2 after structural relaxation at the GGA-PBEsol level of DFT.

The structure belongs to space group C2/m (No. 12); the cell edges are 8.883, 2.760 and 5.825 Å and the angles 90.00°, 97.45° and 90.00°. The inequivalent atoms are Ca at (0.000, 0.000, 0.000), Mo at (0.000, 0.500, 0.500) and Ir at (0.243, 0.000, 0.687).

As for the total magnetization: 0.00 μB/cell. For the density of states at the Fermi level, the calculation gives 2.874 states/eV/f.u. For the theoretical density, the calculation gives 12.20 Mg/m³. Its calculated total energy is -65.19 eV/cell. For the formation energy, the calculation gives 238 meV per atom. As for the offset from the most stable computed form: 0.129 eV per atom.

***

Question: The highest formation energy belongs to which entry?
Answer: CaMoIr2

***

Repeat the second record exactly.
Computed, not measured: Ti2GaC after structural relaxation at the GGA-PBEsol level of DFT.

The structure belongs to space group P6_3/mmc (No. 194); the cell edges are 3.0470, 3.0470 and 13.2934 Å and the angles 90.00°, 90.00° and 120.00°. The inequivalent atoms are Ti at (0.3333, 0.6667, 0.0855), Ga at (0.3333, 0.6667, 0.7500) and C at (0.0000, 0.0000, 0.0000).

As for the total magnetization: 0.00 μB/cell. For the density of states at the Fermi level, the calculation gives 1.394 states/eV/f.u. For the theoretical density, the calculation gives 5.51 Mg/m³. Its calculated total energy is -65.79 eV/cell. For the formation energy, the calculation gives -816 meV per atom. As for the offset from the most stable computed form: 0.000 eV per atom.